## SnBMo2I (PBE-GGA)

Data for an optimized crystal structure of SnBMo2I.

Structure (CIF):
```
data_SnBMo2I
_chemical_formula_sum 'Sn1 B1 Mo2 I1'
_symmetry_space_group_name_H-M 'P 4/m m m'
_symmetry_Int_Tables_number 123
_symmetry_space_group_name_Hall '-P 4 2'
_cell_length_a 5.023
_cell_length_b 5.023
_cell_length_c 5.852
_cell_angle_alpha 90.00
_cell_angle_beta 90.00
_cell_angle_gamma 90.00
loop_
_atom_site_label
_atom_site_type_symbol
_atom_site_fract_x
_atom_site_fract_y
_atom_site_fract_z
_atom_site_occupancy
Sn1 Sn 0.000 0.000 0.000 1
B1 B 0.500 0.500 0.000 1
Mo1 Mo 0.000 0.500 0.500 1
I1 I 0.000 0.000 0.500 1
```

Properties
Density of states at the Fermi level: 3.278 states/eV/f.u.
Energy relative to the elements, uncorrected: 2796 meV/atom